1.
The following is a PBE calculation of a relaxed BaSrCl2 crystal, from Alexandria.

abc: 5.569 5.569 5.569
angles: 60.00 60.00 60.00
Element x y z (fractional)
Ba1 0.500 0.500 0.500
Cl1 0.250 0.250 0.250
Cl2 0.750 0.750 0.750
Sr1 0.000 0.000 0.000

## Properties
- Energy: -0.23703 Ry/atom
- Energy above the most stable polymorph in this dataset: 0.367 eV/atom
- Formation energy (no corrections): -1.40 eV per atom
- V: 30.52 Å³ per atom
- Total moment: 0.429 μB per atom
- Theoretical density: 4.02 Mg/m³

=====

2.
The following is a PBE calculation of a relaxed BaSr2Cl crystal, from Alexandria.

abc: 7.129 7.129 4.211
angles: 90.00 90.00 114.66
Element x y z (fractional)
Sr1 0.500 0.500 0.000
Sr2 0.000 0.000 0.000
Ba1 0.500 0.000 0.500
Cl1 0.000 0.500 0.500

## Properties
- Energy: -0.16432 Ry/atom
- Energy above the most stable polymorph in this dataset: 0.375 eV/atom
- Formation energy (no corrections): -0.45 eV per atom
- V: 48.62 Å³ per atom
- Total moment: 0.000 μB per atom
- Theoretical density: 2.97 Mg/m³

=====

3.
The following is a PBE calculation of a relaxed Ba2SrCl crystal, from Alexandria.

abc: 6.701 6.701 6.701
angles: 60.00 60.00 60.00
Element x y z (fractional)
Ba1 0.250 0.250 0.250
Ba2 0.750 0.750 0.750
Sr1 0.500 0.500 0.500
Cl1 0.000 0.000 0.000

## Properties
- Energy: -0.15864 Ry/atom
- Energy above the most stable polymorph in this dataset: 0.534 eV/atom
- Formation energy (no corrections): -0.31 eV per atom
- V: 53.19 Å³ per atom
- Total moment: 0.000 μB per atom
- Theoretical density: 3.10 Mg/m³

=====

4.
The following is a PBE calculation of a relaxed BaSr2Cl crystal, from Alexandria.

abc: 6.688 6.688 6.688
angles: 60.00 60.00 60.00
Element x y z (fractional)
Ba1 0.500 0.500 0.500
Sr1 0.750 0.750 0.750
Sr2 0.250 0.250 0.250
Cl1 0.000 0.000 0.000

## Properties
- Energy: -0.14654 Ry/atom
- Energy above the most stable polymorph in this dataset: 0.616 eV/atom
- Formation energy (no corrections): -0.21 eV per atom
- V: 52.88 Å³ per atom
- Total moment: 0.000 μB per atom
- Theoretical density: 2.73 Mg/m³